Compound: CrGeP2O
Source: the Alexandria database
Functional: GGA+U
Structure: relaxed

a b c (Å): 4.917 4.917 3.537
angles (deg): 90.00 90.00 90.00
Atoms (fractional coordinates):
Cr (0.000, 0.000, 0.000)
Ge (0.500, 0.500, 0.500)
P (0.000, 0.500, 0.500)
P (0.500, 0.000, 0.500)
O (0.500, 0.500, 0.000)

Its density of states at the Fermi level is 3.777 states/eV/cell. For the volume, the calculation gives 17.11 A^3/atom. The value obtained for the total energy is -0.3874 Ry/atom. For the energy above the lowest structure with this stoichiometry, the calculation gives 14.84 kJ per mole of atoms. As for the symmetry: P4/mmm, No. 123.